No. 1
Material: TlCr2Hg
Method: DFT, GGA-PBE
State: optimized geometry

The final energy comes out at -5.057 eV per atom. The formation energy comes out at 0.422 eV/atom.

abc: 3.114 3.114 7.932
angles: 90.00 90.00 90.00
Element x y z (fractional)
Tl: 0.000 0.000 0.000
Cr: 0.000 0.000 0.418
Cr: 0.500 0.500 0.269
Hg: 0.500 0.500 0.667

---

No. 2
Material: NaZn2GaCo
Method: DFT, GGA-PBE
State: optimized geometry

The final energy comes out at -2.821 eV per atom. The formation energy comes out at -0.021 eV/atom.

abc: 4.663 4.663 4.515
angles: 90.00 90.00 90.00
Element x y z (fractional)
Na: 0.000 0.000 0.000
Zn: 0.000 0.500 0.500
Zn: 0.500 0.000 0.500
Ga: 0.500 0.500 0.000
Co: 0.500 0.500 0.500

---

No. 3
Material: U3W
Method: DFT, GGA-PBE
State: optimized geometry

The final energy comes out at -10.814 eV per atom. The formation energy comes out at 0.891 eV/atom.

abc: 3.846 3.846 5.550
angles: 90.00 90.00 90.00
Element x y z (fractional)
U: 0.000 0.000 0.000
U: 0.000 0.000 0.500
U: 0.500 0.500 0.000
W: 0.500 0.500 0.500

---

No. 4
Material: HfZn3Tc
Method: DFT, GGA-PBE
State: optimized geometry

The final energy comes out at -4.043 eV per atom. The formation energy comes out at 0.785 eV/atom. For the excess energy over the best structure of this formula in the dataset, the calculation gives 0.000 eV per atom.

abc: 4.650 4.650 4.650
angles: 90.00 90.00 90.00
Element x y z (fractional)
Hf: 0.000 0.000 0.000
Zn: 0.000 0.500 0.500
Zn: 0.500 0.000 0.500
Zn: 0.500 0.500 0.000
Tc: 0.500 0.500 0.500

---

No. 5
Material: Pm12Pu3As5
Method: DFT, GGA-PBE
State: optimized geometry

The final energy comes out at -6.294 eV per atom. The formation energy comes out at -0.132 eV/atom.

abc: 15.424 15.424 15.424
angles: 109.47 109.47 109.47
Element x y z (fractional)
Pm: 0.040 0.216 0.116
Pm: 0.040 0.325 0.924
Pm: 0.076 0.616 0.401
Pm: 0.076 0.960 0.675
Pm: 0.099 0.716 0.675
Pm: 0.099 0.884 0.424
Pm: 0.116 0.040 0.216
Pm: 0.116 0.576 0.901
Pm: 0.175 0.216 0.599
Pm: 0.175 0.460 0.576
Pm: 0.216 0.116 0.040
Pm: 0.216 0.599 0.175
Pm: 0.284 0.325 0.901
Pm: 0.284 0.460 0.384
Pm: 0.325 0.901 0.284
Pm: 0.325 0.924 0.040
Pm: 0.384 0.284 0.460
Pm: 0.384 0.599 0.924
Pm: 0.401 0.076 0.616
Pm: 0.401 0.825 0.784
Pm: 0.424 0.099 0.884
Pm: 0.424 0.825 0.540
Pm: 0.460 0.384 0.284
Pm: 0.460 0.576 0.175
Pm: 0.540 0.424 0.825
Pm: 0.540 0.616 0.716
Pm: 0.576 0.175 0.460
Pm: 0.576 0.901 0.116
Pm: 0.599 0.175 0.216
Pm: 0.599 0.924 0.384
Pm: 0.616 0.401 0.076
Pm: 0.616 0.716 0.540
Pm: 0.675 0.076 0.960
Pm: 0.675 0.099 0.716
Pm: 0.716 0.540 0.616
Pm: 0.716 0.675 0.099
Pm: 0.784 0.401 0.825
Pm: 0.784 0.884 0.960
Pm: 0.825 0.540 0.424
Pm: 0.825 0.784 0.401
Pm: 0.884 0.424 0.099
Pm: 0.884 0.960 0.784
Pm: 0.901 0.116 0.576
Pm: 0.901 0.284 0.325
Pm: 0.924 0.040 0.325
Pm: 0.924 0.384 0.599
Pm: 0.960 0.675 0.076
Pm: 0.960 0.784 0.884
Pu: 0.125 0.250 0.375
Pu: 0.125 0.375 0.750
Pu: 0.250 0.375 0.125
Pu: 0.250 0.875 0.625
Pu: 0.375 0.125 0.250
Pu: 0.375 0.750 0.125
Pu: 0.625 0.250 0.875
Pu: 0.625 0.875 0.750
Pu: 0.750 0.125 0.375
Pu: 0.750 0.625 0.875
Pu: 0.875 0.625 0.250
Pu: 0.875 0.750 0.625
As: 0.000 0.000 0.000
As: 0.000 0.000 0.500
As: 0.000 0.500 0.000
As: 0.000 0.500 0.500
As: 0.125 0.750 0.875
As: 0.125 0.875 0.250
As: 0.250 0.125 0.875
As: 0.250 0.625 0.375
As: 0.375 0.250 0.625
As: 0.375 0.625 0.750
As: 0.500 0.000 0.000
As: 0.500 0.000 0.500
As: 0.500 0.500 0.000
As: 0.500 0.500 0.500
As: 0.625 0.375 0.250
As: 0.625 0.750 0.375
As: 0.750 0.375 0.625
As: 0.750 0.875 0.125
As: 0.875 0.125 0.750
As: 0.875 0.250 0.125

---

No. 6
Material: NdEr2Tl
Method: DFT, GGA-PBE
State: optimized geometry

The final energy comes out at -4.178 eV per atom. The formation energy comes out at -0.113 eV/atom. For the excess energy over the best structure of this formula in the dataset, the calculation gives 0.063 eV per atom.

abc: 11.203 11.203 11.203
angles: 18.35 18.35 18.35
Element x y z (fractional)
Nd: 0.000 0.000 0.000
Er: 0.245 0.245 0.245
Er: 0.755 0.755 0.755
Tl: 0.500 0.500 0.500

---

No. 7
Material: PrYMgIn
Method: DFT, GGA-PBE
State: optimized geometry

The final energy comes out at -4.240 eV per atom. The formation energy comes out at -0.346 eV/atom.

abc: 5.421 5.421 5.421
angles: 60.00 60.00 60.00
Element x y z (fractional)
Pr: 0.000 0.000 0.000
Y: 0.500 0.500 0.500
Mg: 0.750 0.750 0.750
In: 0.250 0.250 0.250

---

No. 8
Material: AsIr2Pb
Method: DFT, GGA-PBE
State: optimized geometry

The final energy comes out at -6.189 eV per atom. The formation energy comes out at 0.331 eV/atom. For the excess energy over the best structure of this formula in the dataset, the calculation gives 0.247 eV per atom.

abc: 3.032 3.244 7.506
angles: 90.00 100.43 90.00
Element x y z (fractional)
As: 0.000 0.000 0.000
Ir: 0.408 0.500 0.807
Ir: 0.592 0.500 0.193
Pb: 0.000 0.000 0.500

---

No. 9
Material: ReNiHg
Method: DFT, GGA-PBE
State: optimized geometry

The final energy comes out at -5.725 eV per atom. The formation energy comes out at 0.452 eV/atom. For the excess energy over the best structure of this formula in the dataset, the calculation gives 0.195 eV per atom.

abc: 2.822 2.822 6.821
angles: 90.00 90.00 120.00
Element x y z (fractional)
Re: 0.000 0.000 0.000
Ni: 0.333 0.667 0.717
Hg: 0.667 0.333 0.381

---

No. 10
Material: NdTh3
Method: DFT, GGA-PBE
State: optimized geometry

The final energy comes out at -6.690 eV per atom. The formation energy comes out at 0.067 eV/atom. For the excess energy over the best structure of this formula in the dataset, the calculation gives 0.000 eV per atom.

abc: 6.216 6.216 6.216
angles: 131.79 131.79 70.56
Element x y z (fractional)
Nd: 0.000 0.000 0.000
Th: 0.250 0.750 0.500
Th: 0.500 0.500 0.000
Th: 0.750 0.250 0.500

---

No. 11
Material: PmCoCl6
Method: DFT, GGA-PBE
State: optimized geometry

Its formation energy (no corrections) is -1.29 eV/atom. The final energy comes out at -4.153 eV per atom.

abc: 6.774 6.774 6.774
angles: 55.33 55.33 55.33
Element x y z (fractional)
Pm: 0.000 0.000 0.000
Co: 0.500 0.500 0.500
Cl: 0.123 0.714 0.435
Cl: 0.286 0.565 0.877
Cl: 0.435 0.123 0.714
Cl: 0.565 0.877 0.286
Cl: 0.714 0.435 0.123
Cl: 0.877 0.286 0.565

---

No. 12
Material: In2ReTeI
Method: DFT, GGA-PBE
State: optimized geometry

Its formation energy (no corrections) is 1.38 eV/atom. The final energy comes out at -3.143 eV per atom.

abc: 6.224 6.224 5.129
angles: 90.00 90.00 90.00
Element x y z (fractional)
In: 0.000 0.500 0.000
In: 0.500 0.000 0.000
Re: 0.000 0.000 0.500
Te: 0.500 0.500 0.500
I: 0.000 0.000 0.000

---

No. 13
Material: ScBePt2Rh
Method: DFT, GGA-PBE
State: optimized geometry

The final energy comes out at -6.634 eV per atom. The formation energy comes out at -0.736 eV/atom.

abc: 4.237 4.237 4.213
angles: 90.00 90.00 90.00
Element x y z (fractional)
Sc: 0.000 0.000 0.000
Be: 0.500 0.500 0.500
Pt: 0.000 0.500 0.500
Pt: 0.500 0.000 0.500
Rh: 0.500 0.500 0.000

---

No. 14
Material: Pr8Ag2Rh
Method: DFT, GGA-PBE
State: optimized geometry

The final energy comes out at -4.845 eV per atom. The formation energy comes out at -0.182 eV/atom. For the excess energy over the best structure of this formula in the dataset, the calculation gives 0.000 eV per atom.

abc: 9.503 9.503 7.157
angles: 97.84 97.84 31.73
Element x y z (fractional)
Pr: 0.021 0.021 0.276
Pr: 0.205 0.205 0.828
Pr: 0.347 0.347 0.523
Pr: 0.410 0.410 0.045
Pr: 0.590 0.590 0.955
Pr: 0.653 0.653 0.477
Pr: 0.795 0.795 0.172
Pr: 0.979 0.979 0.724
Ag: 0.192 0.192 0.246
Ag: 0.808 0.808 0.754
Rh: 0.500 0.500 0.500

---

No. 15
Material: NiMoPd
Method: DFT, GGA-PBE
State: optimized geometry

The final energy comes out at -7.236 eV per atom. The formation energy comes out at 0.032 eV/atom. For the excess energy over the best structure of this formula in the dataset, the calculation gives 0.088 eV per atom.

abc: 2.690 4.756 7.076
angles: 76.19 79.35 73.84
Element x y z (fractional)
Ni: 0.000 0.000 0.000
Ni: 0.353 0.456 0.837
Mo: 0.346 0.987 0.328
Mo: 0.675 0.946 0.695
Pd: 0.011 0.468 0.512
Pd: 0.675 0.500 0.154

---

No. 16
Material: TbEr2TmSc5
Method: DFT, GGA-PBE
State: optimized geometry

The final energy comes out at -5.376 eV per atom. The formation energy comes out at 0.166 eV/atom.

abc: 9.584 9.584 10.314
angles: 90.00 90.00 147.85
Element x y z (fractional)
Tb: 0.209 0.791 0.500
Tb: 0.791 0.209 0.000
Er: 0.106 0.894 0.227
Er: 0.113 0.887 0.816
Er: 0.887 0.113 0.316
Er: 0.894 0.106 0.727
Tm: 0.417 0.583 0.952
Tm: 0.583 0.417 0.452
Sc: 0.022 0.978 0.526
Sc: 0.287 0.713 0.788
Sc: 0.298 0.702 0.200
Sc: 0.400 0.600 0.516
Sc: 0.478 0.522 0.227
Sc: 0.522 0.478 0.727
Sc: 0.600 0.400 0.016
Sc: 0.702 0.298 0.700
Sc: 0.713 0.287 0.288
Sc: 0.978 0.022 0.026

---

No. 17
Material: SrGeH3
Method: DFT, GGA-PBE
State: optimized geometry

The final energy comes out at -3.213 eV per atom. For the excess energy over the best structure of this formula in the dataset, the calculation gives 0.242 eV per atom.

abc: 4.012 4.012 4.012
angles: 90.00 90.00 90.00
Element x y z (fractional)
Sr: 0.000 0.000 0.000
Ge: 0.500 0.500 0.500
H: 0.000 0.500 0.500
H: 0.500 0.000 0.500
H: 0.500 0.500 0.000

---

No. 18
Material: Co2Ni2Hg
Method: DFT, GGA-PBE
State: optimized geometry

The final energy comes out at -4.926 eV per atom. The formation energy comes out at 0.290 eV/atom. For the excess energy over the best structure of this formula in the dataset, the calculation gives 0.000 eV per atom.

abc: 7.074 7.074 2.643
angles: 90.00 90.00 90.00
Element x y z (fractional)
Co: 0.118 0.382 0.000
Co: 0.382 0.882 0.000
Co: 0.618 0.118 0.000
Co: 0.882 0.618 0.000
Ni: 0.171 0.671 0.500
Ni: 0.329 0.171 0.500
Ni: 0.671 0.829 0.500
Ni: 0.829 0.329 0.500
Hg: 0.000 0.000 0.000
Hg: 0.500 0.500 0.000

---

No. 19
Material: RbFeGe
Method: DFT, GGA-PBE
State: optimized geometry

The final energy comes out at -4.319 eV per atom. The formation energy comes out at 0.363 eV/atom. For the excess energy over the best structure of this formula in the dataset, the calculation gives 0.310 eV per atom.

abc: 6.831 6.831 3.451
angles: 104.35 104.35 28.86
Element x y z (fractional)
Rb: 0.000 0.000 0.000
Fe: 0.264 0.264 0.257
Ge: 0.728 0.728 0.721

---

No. 20
Material: Na3Sr2Au2
Method: DFT, GGA-PBE
State: optimized geometry

The final energy comes out at -2.387 eV per atom. The formation energy comes out at -0.405 eV/atom. For the excess energy over the best structure of this formula in the dataset, the calculation gives 0.000 eV per atom.

abc: 6.208 6.208 8.544
angles: 94.51 94.51 42.47
Element x y z (fractional)
Na: 0.000 0.000 0.000
Na: 0.319 0.319 0.143
Na: 0.681 0.681 0.857
Sr: 0.374 0.374 0.631
Sr: 0.626 0.626 0.369
Au: 0.088 0.088 0.639
Au: 0.912 0.912 0.361

---

No. 21
Material: PPb5
Method: DFT, GGA-PBE
State: optimized geometry

The final energy comes out at -3.877 eV per atom. The formation energy comes out at 0.115 eV/atom. For the excess energy over the best structure of this formula in the dataset, the calculation gives 0.008 eV per atom.

abc: 8.831 8.831 3.751
angles: 90.00 90.00 143.12
Element x y z (fractional)
P: 0.000 0.000 0.000
Pb: 0.129 0.871 0.500
Pb: 0.311 0.689 0.000
Pb: 0.500 0.500 0.500
Pb: 0.689 0.311 0.000
Pb: 0.871 0.129 0.500

---

No. 22
Material: Er4HCS2
Method: DFT, GGA-PBE
State: optimized geometry

The final energy comes out at -6.110 eV per atom.

abc: 6.326 3.714 6.485
angles: 90.00 107.80 90.00
Element x y z (fractional)
Er: 0.232 0.000 0.212
Er: 0.235 0.500 0.764
Er: 0.765 0.500 0.236
Er: 0.768 0.000 0.788
H: 0.500 0.000 0.000
C: 0.000 0.500 0.000
S: 0.000 0.000 0.500
S: 0.500 0.500 0.500

---

No. 23
Material: TcHgPCl2
Method: DFT, GGA-PBE
State: optimized geometry

Its formation energy (no corrections) is 0.08 eV/atom. The final energy comes out at -3.877 eV per atom. For the excess energy over the best structure of this formula in the dataset, the calculation gives 0.000 eV per atom.

abc: 4.955 4.955 4.644
angles: 90.00 90.00 90.00
Element x y z (fractional)
Tc: 0.000 0.000 0.000
Hg: 0.500 0.500 0.500
P: 0.000 0.000 0.500
Cl: 0.000 0.500 0.000
Cl: 0.500 0.000 0.000